PuHgMoO6 | GGA+U | optimized geometry

abc: 5.560 5.560 9.701
angles: 90.00 90.00 120.00
Last column: magnetic moment on the atom in μB.
Sites, in units of the cell vectors:
Pu  0.333  0.667  0.250  3.59
Pu  0.667  0.333  0.750  3.59
Hg  0.000  0.000  0.000  0.03
Hg  0.000  0.000  0.500  0.03
Mo  0.667  0.333  0.250  0.88
Mo  0.333  0.667  0.750  0.88
O  0.645  0.624  0.139  -0.09
O  0.979  0.355  0.139  -0.09
O  0.355  0.979  0.639  -0.09
O  0.021  0.645  0.861  -0.09
O  0.376  0.355  0.361  -0.09
O  0.979  0.624  0.361  -0.09
O  0.624  0.979  0.861  -0.09
O  0.645  0.021  0.361  -0.09
O  0.021  0.376  0.639  -0.09
O  0.376  0.021  0.139  -0.09
O  0.624  0.645  0.639  -0.09
O  0.355  0.376  0.861  -0.09

## Properties
SG: P-31c, No. 163
Electronic total energy (eV per cell): -133.51
Spin magnetization (μB/f.u.): 4.0